A relaxed Ho6ErAl2 crystal. Source: Alexandria via LeMat-Bulk, functional PBE.

Summary:
Energy above the lowest structure with this stoichiometry (meV per atom): 705.8
Total moment (μB per cell): 0.0

a b c (Å): 4.752 4.752 27.547
angles (deg): 90.00 90.00 90.00
Space group I-42m (No. 121)
One atom of each set of equivalent atoms:
Ho: 0.000 0.500 0.250 x4
Ho: 0.247 0.247 0.103 x8
Er: 0.000 0.000 0.000 x2
Al: 0.000 0.000 0.314 x4